An optimized crystal structure of Ce2Pr3In3. Source: Alexandria, functional PBE-GGA.

Results
N(E_F), states/eV/f.u.: 15.5
Total magnetic moment, μB per cell: 1.94
Calculated total energy, eV/cell: -36.929

Cell lengths 4.5718, 4.9708, 10.9791 Å; angles 103.08, 102.02, 90.00 degrees
Closest atoms and distances in Å follow each position.
Atoms (fractional coordinates):
Pr: 0.6215 0.6215 0.2431  6 In 3.38-3.42, 2 Pr 3.55, 4 Ce 3.56-3.63
Pr: 0.3785 0.3785 0.7569  6 In 3.38-3.42, 2 Pr 3.55, 4 Ce 3.56-3.63
In: 0.8715 0.8715 0.7430  4 Ce 3.32-3.65, 6 Pr 3.38-3.53, 2 In 3.66
Ce: 0.7437 0.2437 0.4874  4 In 3.32-3.65, 4 Ce 3.39, 4 Pr 3.56-3.63
Ce: 0.2563 0.7563 0.5126  4 In 3.32-3.65, 4 Ce 3.39, 4 Pr 3.56-3.63
In: 0.1285 0.1285 0.2570  4 Ce 3.32-3.65, 6 Pr 3.38-3.53, 2 In 3.66
In: 0.0000 0.5000 0.0000  8 Pr 3.38-3.42, 4 In 3.66
Pr: 0.5000 0.0000 0.0000  8 In 3.38-3.53, 4 Pr 3.55

***

An optimized crystal structure of Ce3Pr2In2. Source: Alexandria, functional PBE-GGA.

Results
N(E_F), states/eV/f.u.: 14.6
Total magnetic moment, μB per cell: 1.46
Calculated total energy, eV/cell: -34.206

Cell lengths 5.3578, 6.1189, 6.7161 Å; angles 90.88, 90.00, 115.96 degrees
Closest atoms and distances in Å follow each position.
Atoms (fractional coordinates):
Ce: 0.6024 0.2048 0.3868  2 Ce 2.74-2.81
In: 0.0902 0.1804 0.6953  1 In 3.26, 7 Ce 3.39-3.52, 4 Pr 3.42-3.55
Pr: 0.7851 0.5702 0.8342  4 Ce 3.31-3.59, 4 In 3.42-3.55, 2 Pr 3.58
In: 0.9098 0.8196 0.3047  1 In 3.26, 7 Ce 3.39-3.52, 4 Pr 3.42-3.55
Pr: 0.2149 0.4298 0.1658  4 Ce 3.31-3.59, 4 In 3.42-3.55, 2 Pr 3.58
Ce: 0.5000 0.0000 0.0000  2 Ce 2.81
Ce: 0.3976 0.7952 0.6132  2 Ce 2.74-2.81

***

An optimized crystal structure of Ce2Pr3In7. Source: Alexandria, functional PBE-GGA.

Results
N(E_F), states/eV/f.u.: 20.5
Total magnetic moment, μB per cell: 3.13
Calculated total energy, eV/cell: -47.828

Cell lengths 5.5735, 5.2439, 12.9544 Å; angles 101.68, 90.00, 90.00 degrees
Closest atoms and distances in Å follow each position.
Atoms (fractional coordinates):
In: 0.0000 0.0000 0.0000  8 In 3.19-3.41
In: 0.0000 0.4283 0.8566  2 Ce 3.19, 2 In 3.19, 4 Pr 3.33-3.55
In: 0.0000 0.7252 0.4505  2 In 2.91
Pr: 0.5000 0.6586 0.3172  6 In 3.26-3.55
In: 0.0000 0.2748 0.5495  2 In 2.91
In: 0.5000 0.0775 0.1550  2 Ce 3.25, 4 Pr 3.28-3.33, 2 In 3.41
Ce: 0.0000 0.8569 0.7137  7 In 3.19-3.35
Ce: 0.0000 0.1431 0.2863  7 In 3.19-3.35
In: 0.0000 0.5717 0.1434  2 Ce 3.19, 2 In 3.19, 4 Pr 3.33-3.55
Pr: 0.5000 0.5000 0.0000  8 In 3.28-3.33
In: 0.5000 0.9225 0.8450  2 Ce 3.25, 4 Pr 3.28-3.33, 2 In 3.41
Pr: 0.5000 0.3414 0.6828  6 In 3.26-3.55